# 1
16
Lattice="-2.2188 -3.4501 3.7843 -4.2142 -4.8334 -2.7622 7.6286 -8.6589 0.6939" Properties=species:S:1:pos:R:3 comment="Cs2AlTlO4 (GGA-PBE, relaxed)" formation_energy_uncorrected_kj_per_mol_fu=-1219 space_group="Fddd, No. 70" pbc="T T T"
Cs 3.1555 -11.8035 1.3773
Cs 4.5162 -6.1891 1.1207
Cs 0.8936 -5.9198 3.3575
Cs -3.0693 -6.8640 2.2309
O 1.9336 -8.3608 1.3608
O 5.7381 -9.6318 1.1371
O 1.6554 -14.8342 1.4690
O -0.4167 -11.4420 2.0511
O -0.5326 -8.2622 0.0048
O -1.3638 -3.5138 1.7888
O -3.6385 -5.9050 -0.9629
O 1.4068 -5.8199 0.0153
Tl 0.0431 -9.3337 1.8041
Tl 0.0000 0.0000 0.0000
Al -1.1094 -1.7250 1.8921
Al 1.1525 -7.6087 -0.0881

# 2
12
Lattice="4.4894 -0.1094 -0.0528 -0.0372 4.5142 0.2431 -0.0659 0.3807 10.1541" Properties=species:S:1:pos:R:3 comment="CsU2AlO8 (GGA-PBE, relaxed)" formation_energy_uncorrected_kj_per_mol_fu=-3202 space_group="P-1, No. 2" pbc="T T T"
O 2.2481 2.9465 6.6935
O 3.5781 0.6821 1.5090
O 3.0533 3.4948 10.2070
O 0.8081 4.1033 8.8353
O 2.1381 1.8390 3.6508
O 3.5762 1.3227 8.6554
O 1.3329 1.2907 0.1374
O 0.8100 3.4628 1.6889
U 2.4593 2.3199 1.8384
U 1.9269 2.4655 8.5059
Cs -0.0330 0.1903 5.0770
Al 0.0000 0.0000 0.0000

# 3
18
Lattice="7.4212 -0.2800 -0.1986 3.4215 6.5914 -0.1986 3.4215 1.9916 6.2864" Properties=species:S:1:pos:R:3 comment="Cs2U3AlO12 (GGA-PBE, relaxed)" formation_energy_uncorrected_kj_per_mol_fu=-4893 space_group="R-3m, No. 166" pbc="T T T"
Al 0.0000 0.0000 0.0000
U 1.7108 0.9958 3.1432
U 1.7108 3.2957 -0.0993
U 3.7106 -0.1400 -0.0993
Cs 5.3257 3.1000 2.1988
Cs 8.9386 5.2030 3.6904
O 5.0709 5.7937 4.1094
O 3.0031 1.7481 4.4282
O 11.2612 6.5549 1.4610
O 7.5421 4.3901 0.1026
O 6.7222 3.9129 5.7867
O 9.1934 2.5093 1.7798
O 6.7222 6.7549 1.7798
O 3.0031 4.7571 0.1859
O 7.5421 1.5481 4.1094
O 5.6196 0.2620 0.1859
O 8.6447 8.0410 5.7034
O 11.2612 3.5459 5.7034